The following is a PBE calculation of a relaxed AcNi2B crystal, from Alexandria.

The formation energy is -13.5 kJ/mol of atoms. Its distance to the lowest polymorph of the same formula is 0.019 eV/atom. As for the crystal system: monoclinic. The total moment is 0.000 μB/atom. The calculation puts the density of states at the Fermi level at 2.7 states/eV/f.u.

The space group is C2/c (No. 15) and the conventional cell measures 5.648, 11.553 and 4.614 Å, with angles of 90.00, 113.45 and 90.00 degrees. Symmetry generates all atoms from Ac at (0.000, 0.126, 0.250), Ni at (0.100, 0.366, 0.043) and B at (0.000, 0.496, 0.250).